## CdAgCl2 (PBE)

Data for a geometry-optimized CdAgCl2 structure.

Computed properties:
E_tot: -2.213 eV/atom
Energy relative to the elements, uncorrected: -0.348 eV/atom
Theoretical density: 4839 kg/m3
ΔE to the lowest computed polymorph: 0.171 eV/atom
V: 99.9 Å³/cell

a = 7.0657 Å, b = 7.0657 Å, c = 7.0657 Å
α = 147.78°, β = 147.78°, γ = 46.21°
Atoms (fractional coordinates):
Cl1 0.0000 0.0000 0.0000
Cl2 0.2500 0.7500 0.5000
Ag1 0.5000 0.5000 0.0000
Cd1 0.7500 0.2500 0.5000

***

## CdAg2Cl5 (PBE)

Data for a geometry-optimized CdAg2Cl5 structure.

Computed properties:
E_tot: -2.612 eV/atom
Energy relative to the elements, uncorrected: -0.630 eV/atom
Theoretical density: 3767 kg/m3
V: 445.6 Å³/cell

a = 5.1872 Å, b = 7.2212 Å, c = 12.7457 Å
α = 90.00°, β = 90.00°, γ = 111.05°
Atoms (fractional coordinates):
Cd1 0.7850 0.5699 0.7500
Cd2 0.2150 0.4301 0.2500
Ag1 0.8560 0.7120 0.4353
Ag2 0.8560 0.7120 0.0647
Ag3 0.1440 0.2880 0.5647
Ag4 0.1440 0.2880 0.9353
Cl1 0.9274 0.8547 0.8843
Cl2 0.9274 0.8547 0.6157
Cl3 0.3374 0.6748 0.4188
Cl4 0.3374 0.6748 0.0812
Cl5 0.7867 0.5735 0.2500
Cl6 0.2133 0.4265 0.7500
Cl7 0.6626 0.3252 0.5812
Cl8 0.6626 0.3252 0.9188
Cl9 0.0726 0.1453 0.1157
Cl10 0.0726 0.1453 0.3843

***

## CdAg3Cl6 (PBE)

Data for a geometry-optimized CdAg3Cl6 structure.

Computed properties:
E_tot: -2.638 eV/atom
Energy relative to the elements, uncorrected: -0.583 eV/atom
Theoretical density: 4354 kg/m3
V: 494.8 Å³/cell

a = 6.5524 Å, b = 6.9421 Å, c = 10.8914 Å
α = 90.00°, β = 92.89°, γ = 90.00°
Atoms (fractional coordinates):
Cd1 0.5000 0.5000 0.5000
Cd2 0.0000 0.0000 0.0000
Ag1 0.5002 0.8876 0.8164
Ag2 0.5000 0.5000 0.0000
Ag3 0.4998 0.1124 0.1836
Ag4 0.0002 0.6124 0.3164
Ag5 0.0000 0.0000 0.5000
Ag6 0.9998 0.3876 0.6836
Cl1 0.6705 0.1858 0.9251
Cl2 0.6884 0.1954 0.5962
Cl3 0.6668 0.4230 0.2729
Cl4 0.3332 0.5770 0.7271
Cl5 0.3116 0.8046 0.4038
Cl6 0.3295 0.8142 0.0749
Cl7 0.1705 0.3142 0.4251
Cl8 0.1884 0.3046 0.0962
Cl9 0.1668 0.0770 0.7729
Cl10 0.8332 0.9230 0.2271
Cl11 0.8116 0.6954 0.9038
Cl12 0.8295 0.6858 0.5749

***

## Cd2Ag2Cl7 (PBE)

Data for a geometry-optimized Cd2Ag2Cl7 structure.

Computed properties:
E_tot: -2.565 eV/atom
Energy relative to the elements, uncorrected: -0.705 eV/atom
Theoretical density: 3475 kg/m3
ΔE to the lowest computed polymorph: 0.005 eV/atom
V: 329.1 Å³/cell

a = 7.0259 Å, b = 7.1953 Å, c = 7.1953 Å
α = 98.52°, β = 74.73°, γ = 74.73°
Atoms (fractional coordinates):
Cd1 0.6124 0.1584 0.1584
Cd2 0.4161 0.7451 0.7451
Ag1 0.0658 0.7263 0.3541
Ag2 0.0658 0.3541 0.7263
Cl1 0.7560 0.0171 0.4013
Cl2 0.7560 0.4013 0.0171
Cl3 0.3063 0.4486 0.4486
Cl4 0.3665 0.0316 0.0316
Cl5 0.7828 0.5601 0.5601
Cl6 0.1862 0.9676 0.5895
Cl7 0.1862 0.5895 0.9676

***

## Cd2AgCl2 (PBE)

Data for a geometry-optimized Cd2AgCl2 structure.

Computed properties:
E_tot: -1.900 eV/atom
Energy relative to the elements, uncorrected: -0.225 eV/atom
Theoretical density: 4701 kg/m3
ΔE to the lowest computed polymorph: 0.000 eV/atom
V: 285.1 Å³/cell

a = 8.8215 Å, b = 8.8215 Å, c = 3.6638 Å
α = 90.00°, β = 90.00°, γ = 90.00°
Atoms (fractional coordinates):
Cl1 0.2560 0.7560 0.0000
Cl2 0.7560 0.7440 0.0000
Cl3 0.7440 0.2440 0.0000
Cl4 0.2440 0.2560 0.0000
Ag1 0.0000 0.0000 0.0000
Ag2 0.5000 0.5000 0.0000
Cd1 0.1066 0.6066 0.5000
Cd2 0.6066 0.8934 0.5000
Cd3 0.8934 0.3934 0.5000
Cd4 0.3934 0.1066 0.5000

***

## CdAg4Cl6 (PBE)

Data for a geometry-optimized CdAg4Cl6 structure.

Computed properties:
E_tot: -2.704 eV/atom
Energy relative to the elements, uncorrected: -0.577 eV/atom
Theoretical density: 4039 kg/m3
V: 622.1 Å³/cell

a = 7.8160 Å, b = 7.5203 Å, c = 13.3501 Å
α = 69.56°, β = 72.98°, γ = 58.69°
Atoms (fractional coordinates):
Cd1 0.6641 0.7771 0.3931
Cd2 0.1656 0.2771 0.8931
Ag1 0.2804 0.9864 0.6631
Ag2 0.0701 0.4864 0.1631
Ag3 0.7795 0.1688 0.4668
Ag4 0.5849 0.6688 0.9668
Ag5 0.8943 0.7167 0.6356
Ag6 0.7534 0.2167 0.1356
Ag7 0.7182 0.2394 0.8028
Ag8 0.2396 0.7393 0.3028
Cl1 0.3848 0.5381 0.1468
Cl2 0.9302 0.0381 0.6468
Cl3 0.4721 0.5734 0.4539
Cl4 0.5007 0.0734 0.9539
Cl5 0.4800 0.0929 0.4720
Cl6 0.9552 0.5929 0.9720
Cl7 0.9574 0.0867 0.9566
Cl8 0.9993 0.5867 0.4566
Cl9 0.9897 0.1589 0.2687
Cl10 0.5828 0.6589 0.7687
Cl11 0.2270 0.3480 0.6947
Cl12 0.7304 0.8480 0.1947

***

## Cd5AgCl12 (PBE)

Data for a geometry-optimized Cd5AgCl12 structure.

Computed properties:
E_tot: -2.596 eV/atom
Energy relative to the elements, uncorrected: -0.952 eV/atom
Theoretical density: 3570 kg/m3
V: 509.5 Å³/cell

a = 6.8843 Å, b = 6.7028 Å, c = 12.8753 Å
α = 88.97°, β = 88.00°, γ = 59.10°
Atoms (fractional coordinates):
Cd1 0.5000 0.0000 0.5000
Cd2 0.1667 0.6667 0.5000
Cd3 0.8333 0.3333 0.5000
Cd4 0.6601 0.6799 0.0000
Cd5 0.3400 0.3201 0.0000
Ag1 0.0000 0.0000 0.0000
Cl1 0.8403 0.0000 0.3881
Cl2 0.1597 0.0000 0.6119
Cl3 0.6420 0.0000 0.8776
Cl4 0.3580 0.0000 0.1224
Cl5 0.3181 0.6797 0.8936
Cl6 0.0022 0.6797 0.1064
Cl7 0.9978 0.3203 0.8936
Cl8 0.6819 0.3203 0.1064
Cl9 0.4923 0.3339 0.6121
Cl10 0.8262 0.6661 0.6121
Cl11 0.1738 0.3339 0.3879
Cl12 0.5077 0.6661 0.3879

***

## CdAgCl (PBE)

Data for a geometry-optimized CdAgCl structure.

Computed properties:
E_tot: -2.153 eV/atom
Energy relative to the elements, uncorrected: -0.282 eV/atom
Theoretical density: 6389 kg/m3
ΔE to the lowest computed polymorph: 0.050 eV/atom
V: 132.9 Å³/cell

a = 3.5643 Å, b = 3.5727 Å, c = 12.0444 Å
α = 90.00°, β = 90.00°, γ = 119.92°
Atoms (fractional coordinates):
Ag1 0.4461 0.8922 0.0000
Ag2 0.4418 0.8836 0.5000
Cd1 0.7751 0.5502 0.3314
Cd2 0.7751 0.5502 0.6686
Cl1 0.1142 0.2285 0.8466
Cl2 0.1142 0.2285 0.1534

***

## CdAgCl2 (PBE)

Data for a geometry-optimized CdAgCl2 structure.

Computed properties:
E_tot: -2.222 eV/atom
Energy relative to the elements, uncorrected: -0.357 eV/atom
Theoretical density: 4736 kg/m3
ΔE to the lowest computed polymorph: 0.162 eV/atom
V: 102.1 Å³/cell

a = 6.2667 Å, b = 5.2993 Å, c = 4.2185 Å
α = 69.95°, β = 84.65°, γ = 123.65°
Atoms (fractional coordinates):
Cl1 0.0000 0.0000 0.0000
Cl2 0.5000 0.0000 0.5000
Ag1 0.0000 0.5000 0.5000
Cd1 0.5000 0.5000 0.0000

***

## CdAgCl2 (PBE)

Data for a geometry-optimized CdAgCl2 structure.

Computed properties:
E_tot: -2.140 eV/atom
Energy relative to the elements, uncorrected: -0.275 eV/atom
Theoretical density: 5460 kg/m3
ΔE to the lowest computed polymorph: 0.244 eV/atom
V: 88.6 Å³/cell

a = 4.9849 Å, b = 4.9856 Å, c = 3.5631 Å
α = 90.00°, β = 90.00°, γ = 90.15°
Atoms (fractional coordinates):
Cl1 0.0000 0.0000 0.0000
Cl2 0.5000 0.5000 0.0000
Ag1 0.5000 0.0000 0.5000
Cd1 0.0000 0.5000 0.5000

***

## CdAg2Cl4 (PBE)

Data for a geometry-optimized CdAg2Cl4 structure.

Computed properties:
E_tot: -2.702 eV/atom
Energy relative to the elements, uncorrected: -0.701 eV/atom
Theoretical density: 3716 kg/m3
V: 210.0 Å³/cell

a = 5.9911 Å, b = 5.9911 Å, c = 5.8511 Å
α = 90.00°, β = 90.00°, γ = 90.00°
Atoms (fractional coordinates):
Cd1 0.0000 0.0000 0.0000
Ag1 0.5000 0.0000 0.5000
Ag2 0.0000 0.5000 0.5000
Cl1 0.7529 0.2471 0.7621
Cl2 0.2471 0.2471 0.2379
Cl3 0.2471 0.7529 0.7621
Cl4 0.7529 0.7529 0.2379

***

## Cd3AgCl8 (PBE)

Data for a geometry-optimized Cd3AgCl8 structure.

Computed properties:
E_tot: -2.577 eV/atom
Energy relative to the elements, uncorrected: -0.880 eV/atom
Theoretical density: 3672 kg/m3
V: 329.6 Å³/cell

a = 7.9057 Å, b = 7.7438 Å, c = 7.8440 Å
α = 121.20°, β = 90.00°, γ = 120.69°
Atoms (fractional coordinates):
Cd1 0.5000 0.0000 0.0000
Cd2 0.5000 0.5000 0.0000
Cd3 0.0000 0.5000 0.0000
Ag1 0.0000 0.0000 0.0000
Cl1 0.2489 0.4978 0.7696
Cl2 0.7511 0.5022 0.2304
Cl3 0.2609 0.0084 0.7689
Cl4 0.7475 0.0084 0.7689
Cl5 0.7661 0.5323 0.7756
Cl6 0.2339 0.4677 0.2244
Cl7 0.2525 0.9916 0.2311
Cl8 0.7391 0.9916 0.2311

***

## Cd3Ag4Cl12 (PBE)

Data for a geometry-optimized Cd3Ag4Cl12 structure.

Computed properties:
E_tot: -2.566 eV/atom
Energy relative to the elements, uncorrected: -0.655 eV/atom
Theoretical density: 4007 kg/m3
V: 494.8 Å³/cell

a = 8.6304 Å, b = 8.6304 Å, c = 8.6304 Å
α = 109.47°, β = 109.47°, γ = 109.47°
Atoms (fractional coordinates):
Cd1 0.5000 0.0000 0.5000
Cd2 0.5000 0.5000 0.0000
Cd3 0.0000 0.5000 0.5000
Ag1 0.0000 0.0000 0.5000
Ag2 0.5000 0.5000 0.5000
Ag3 0.5000 0.0000 0.0000
Ag4 0.0000 0.5000 0.0000
Cl1 0.6828 0.4994 0.8167
Cl2 0.3172 0.5006 0.1833
Cl3 0.3172 0.1339 0.8167
Cl4 0.4994 0.8167 0.6828
Cl5 0.8167 0.3172 0.1339
Cl6 0.1833 0.3172 0.5006
Cl7 0.1339 0.8167 0.3172
Cl8 0.1833 0.6828 0.8661
Cl9 0.6828 0.8661 0.1833
Cl10 0.5006 0.1833 0.3172
Cl11 0.8167 0.6828 0.4994
Cl12 0.8661 0.1833 0.6828

***

## CdAgCl2 (PBE)

Data for a geometry-optimized CdAgCl2 structure.

Computed properties:
E_tot: -2.220 eV/atom
Energy relative to the elements, uncorrected: -0.355 eV/atom
Theoretical density: 4891 kg/m3
ΔE to the lowest computed polymorph: 0.164 eV/atom
V: 98.9 Å³/cell

a = 3.7718 Å, b = 3.7718 Å, c = 7.8542 Å
α = 90.00°, β = 90.00°, γ = 117.79°
Atoms (fractional coordinates):
Cl1 0.0000 0.0000 0.0211
Cl2 0.0000 0.0000 0.4789
Ag1 0.5000 0.5000 0.2500
Cd1 0.5000 0.5000 0.7500

***

## Cd2Ag3Cl8 (PBE)

Data for a geometry-optimized Cd2Ag3Cl8 structure.

Computed properties:
E_tot: -2.632 eV/atom
Energy relative to the elements, uncorrected: -0.697 eV/atom
Theoretical density: 3910 kg/m3
ΔE to the lowest computed polymorph: 0.000 eV/atom
V: 353.3 Å³/cell

a = 7.0912 Å, b = 7.5582 Å, c = 7.5996 Å
α = 119.82°, β = 89.09°, γ = 90.00°
Atoms (fractional coordinates):
Cd1 0.4461 0.2805 0.5610
Cd2 0.5539 0.7195 0.4390
Ag1 0.5000 0.0000 0.0000
Ag2 0.0000 0.2423 0.0000
Ag3 0.0000 0.7577 0.0000
Cl1 0.8472 0.5997 0.1994
Cl2 0.1528 0.4003 0.8006
Cl3 0.8157 0.0949 0.1898
Cl4 0.1843 0.9051 0.8102
Cl5 0.6521 0.6084 0.7052
Cl6 0.6521 0.0968 0.7052
Cl7 0.3479 0.9032 0.2948
Cl8 0.3479 0.3916 0.2948

***

## CdAgCl (PBE)

Data for a geometry-optimized CdAgCl structure.

Computed properties:
E_tot: -1.950 eV/atom
Energy relative to the elements, uncorrected: -0.079 eV/atom
Theoretical density: 5395 kg/m3
ΔE to the lowest computed polymorph: 0.252 eV/atom
V: 78.7 Å³/cell

a = 4.8104 Å, b = 4.8104 Å, c = 4.8104 Å
α = 60.00°, β = 60.00°, γ = 60.00°
Atoms (fractional coordinates):
Cl1 0.5000 0.5000 0.5000
Ag1 0.7500 0.7500 0.7500
Cd1 0.0000 0.0000 0.0000

***

## CdAgCl2 (PBE)

Data for a geometry-optimized CdAgCl2 structure.

Computed properties:
E_tot: -2.238 eV/atom
Energy relative to the elements, uncorrected: -0.373 eV/atom
Theoretical density: 4749 kg/m3
ΔE to the lowest computed polymorph: 0.145 eV/atom
V: 101.8 Å³/cell

a = 3.8525 Å, b = 3.4602 Å, c = 7.9244 Å
α = 105.46°, β = 90.00°, γ = 90.00°
Atoms (fractional coordinates):
Cl1 0.0000 0.9289 0.0251
Cl2 0.0000 0.5711 0.4749
Ag1 0.5000 0.2500 0.2500
Cd1 0.5000 0.7500 0.7500

***

## CrCdAg2Cl6 (PBE)

Data for a geometry-optimized CrCdAg2Cl6 structure.

Computed properties:
E_tot: -3.477 eV/atom
Energy relative to the elements, uncorrected: -0.745 eV/atom
Theoretical density: 4116 kg/m3
V: 239.2 Å³/cell

a = 6.7218 Å, b = 7.0323 Å, c = 7.0904 Å
α = 93.58°, β = 115.13°, γ = 121.85°
Atoms (fractional coordinates):
Cr1 0.9830 0.4924 0.4631
Cd1 0.9894 0.9961 0.9729
Ag1 0.5845 0.8061 0.3343
Ag2 0.5558 0.2749 0.8226
Cl1 0.4516 0.8552 0.6952
Cl2 0.5167 0.1290 0.2127
Cl3 0.8361 0.7273 0.1825
Cl4 0.1130 0.3971 0.2226
Cl5 0.8443 0.5895 0.6883
Cl6 0.0912 0.2100 0.7084

***

## CsCdAg2Cl6 (PBE)

Data for a geometry-optimized CsCdAg2Cl6 structure.

Computed properties:
E_tot: -2.764 eV/atom
Energy relative to the elements, uncorrected: -0.909 eV/atom
Theoretical density: 3162 kg/m3
V: 707.6 Å³/cell

a = 8.9336 Å, b = 9.7094 Å, c = 9.7094 Å
α = 106.87°, β = 73.43°, γ = 73.43°
Atoms (fractional coordinates):
Cs1 0.2500 0.8822 0.1178
Cs2 0.7500 0.1178 0.8822
Cd1 0.2500 0.1988 0.8012
Cd2 0.7500 0.8012 0.1988
Ag1 0.3419 0.6944 0.5494
Ag2 0.1581 0.4506 0.3056
Ag3 0.6581 0.3056 0.4506
Ag4 0.8419 0.5494 0.6944
Cl1 0.1939 0.9478 0.7866
Cl2 0.3061 0.2134 0.0522
Cl3 0.8061 0.0522 0.2134
Cl4 0.6939 0.7866 0.9478
Cl5 0.4644 0.8374 0.3643
Cl6 0.0356 0.6357 0.1626
Cl7 0.5356 0.1626 0.6357
Cl8 0.9644 0.3643 0.8374
Cl9 0.0393 0.6781 0.5682
Cl10 0.4607 0.4318 0.3219
Cl11 0.9607 0.3219 0.4318
Cl12 0.5393 0.5682 0.6781

***

## Cs4CdAg3Cl12 (PBE)

Data for a geometry-optimized Cs4CdAg3Cl12 structure.

Computed properties:
E_tot: -2.915 eV/atom
Energy relative to the elements, uncorrected: -1.163 eV/atom
Theoretical density: 4017 kg/m3
V: 575.9 Å³/cell

a = 9.0779 Å, b = 9.0779 Å, c = 9.0779 Å
α = 109.47°, β = 109.47°, γ = 109.47°
Atoms (fractional coordinates):
Cs1 0.5000 0.5000 0.5000
Cs2 0.0000 0.0000 0.5000
Cs3 0.5000 0.0000 0.0000
Cs4 0.0000 0.5000 0.0000
Cd1 0.0000 0.0000 0.0000
Ag1 0.5000 0.0000 0.5000
Ag2 0.5000 0.5000 0.0000
Ag3 0.0000 0.5000 0.5000
Cl1 0.2500 0.5000 0.7500
Cl2 0.7491 0.0000 0.7491
Cl3 0.2509 0.0000 0.2509
Cl4 0.7500 0.5000 0.2500
Cl5 0.7491 0.7491 0.0000
Cl6 0.2509 0.2509 0.0000
Cl7 0.7500 0.2500 0.5000
Cl8 0.2500 0.7500 0.5000
Cl9 0.5000 0.2500 0.7500
Cl10 0.0000 0.7491 0.7491
Cl11 0.5000 0.7500 0.2500
Cl12 0.0000 0.2509 0.2509